Entry 1:
The following is a DFT calculation (PBE-GGA) of a relaxed structure of LaThNb4.

Values from the calculation:
The calculation puts the total magnetization at 0.00 μB/cell. The symmetry is F-43m. The total DFT energy (no corrections) is -8.6151 eV per atom. For the formation energy, the calculation gives 0.156 eV per atom. As for the density of states at the Fermi level: 6.00 states/eV/cell.

Cell: 5.795 5.795 5.795 Å, 60.00 60.00 60.00°
Sites, in units of the cell vectors:
Nb (0.625, 0.625, 0.125)
Nb (0.625, 0.125, 0.625)
Nb (0.625, 0.625, 0.625)
Nb (0.125, 0.625, 0.625)
Th (0.250, 0.250, 0.250)
La (0.000, 0.000, 0.000)

---

Entry 2:
The following is a DFT calculation (PBE-GGA) of a relaxed structure of Li2PuAsN.

Values from the calculation:
The calculation puts the total magnetization at 8.00 μB/cell. The symmetry is I4/mcm. The total DFT energy (no corrections) is -7.1027 eV per atom. For the raw formation energy, the calculation gives -0.876 eV per atom. As for the density of states at the Fermi level: 15.74 states/eV/cell.

Cell: 5.918 5.918 6.055 Å, 119.28 119.28 89.97°
Sites, in units of the cell vectors:
Li (0.315, 0.815, 0.000)
Li (0.815, 0.685, 0.000)
Li (0.685, 0.185, 0.000)
Li (0.185, 0.315, 0.000)
Pu (0.750, 0.750, 0.500)
Pu (0.250, 0.250, 0.500)
As (0.750, 0.250, 0.500)
As (0.250, 0.750, 0.500)
N (0.000, 0.000, 0.000)
N (0.500, 0.500, 0.000)